1.
{
  "formula": "Ca2BeCl",
  "functional": "PBE-GGA",
  "state": "optimized geometry",
  "crystal_system": "orthorhombic",
  "magmom_total_mub_per_atom": 0.00,
  "density_g_cm3": 1.99,
  "space_group": "Imm2",
  "lattice_angstrom": [[8.260, -0.001, -0.010], [6.657, 4.891, 0.010], [-7.425, -2.547, 2.572]],
  "species": ["Ca", "Ca", "Cl", "Be"],
  "frac_coords": [[0.713, 0.213, 0.500], [0.942, 0.942, 0.000], [0.544, 0.544, 0.000], [0.300, 0.800, 0.500]]
}

***

2.
{
  "formula": "Ca2BeCl",
  "functional": "PBE-GGA",
  "state": "optimized geometry",
  "crystal_system": "monoclinic",
  "magmom_total_mub_per_atom": 0.00,
  "density_g_cm3": 2.19,
  "space_group": "C2/m",
  "lattice_angstrom": [[-4.223, 3.954, -5.836], [4.200, -3.250, -0.391], [-1.735, -2.030, -1.991]],
  "species": ["Ca", "Ca", "Cl", "Be"],
  "frac_coords": [[0.000, 0.000, 0.000], [0.500, 0.000, 0.500], [0.000, 0.500, 0.500], [0.500, 0.500, 0.000]]
}

***

3.
{
  "formula": "Ca2BeCl",
  "functional": "PBE-GGA",
  "state": "optimized geometry",
  "crystal_system": "monoclinic",
  "magmom_total_mub_per_atom": 0.14,
  "density_g_cm3": 2.01,
  "space_group": "C2/m",
  "lattice_angstrom": [[-1.803, 1.303, -3.243], [-3.466, -1.514, -1.077], [-5.390, 5.277, 2.723]],
  "species": ["Be", "Ca", "Ca", "Cl"],
  "frac_coords": [[0.250, 0.250, 0.250], [0.504, 0.504, 0.484], [0.996, 0.996, 0.016], [0.750, 0.750, 0.750]]
}

***

Relative to the most stable structure, the computed energies are 1 0.096; 2 0.162; 3 0.000, all in eV/atom.

***

1.
{
  "formula": "Ca2BeCl",
  "functional": "PBE-GGA",
  "state": "optimized geometry",
  "crystal_system": "tetragonal",
  "magmom_total_mub_per_atom": 0.00,
  "density_g_cm3": 1.82,
  "space_group": "I-42d",
  "lattice_angstrom": [[7.421, 0.000, 0.000], [0.000, 7.421, 0.000], [3.711, 3.711, 4.121]],
  "species": ["Be", "Be", "Cl", "Cl", "Ca", "Ca", "Ca", "Ca"],
  "frac_coords": [[0.500, 0.500, 0.000], [0.250, 0.750, 0.500], [0.750, 0.250, 0.500], [0.000, 0.000, 0.000], [0.375, 0.372, 0.750], [0.122, 0.625, 0.250], [0.628, 0.125, 0.250], [0.875, 0.878, 0.750]]
}

***

2.
{
  "formula": "Ca2BeCl",
  "functional": "PBE-GGA",
  "state": "optimized geometry",
  "crystal_system": "monoclinic",
  "magmom_total_mub_per_atom": 0.08,
  "density_g_cm3": 1.99,
  "space_group": "P2/m",
  "lattice_angstrom": [[-0.108, -0.460, 3.483], [1.341, -3.427, -0.411], [7.459, 2.820, 0.604]],
  "species": ["Ca", "Ca", "Cl", "Be"],
  "frac_coords": [[0.000, 0.249, 0.968], [0.000, 0.251, 0.532], [0.500, 0.250, 0.250], [0.500, 0.750, 0.750]]
}

***

Relative to the most stable structure, the computed energies are 1 0.214; 2 0.000, all in eV/atom.